1.
DFT (GGA-PBE) results for crystalline TaGaPd2Ru at its relaxed geometry.

Space group: P4/mmm, No. 123
E_tot, eV per atom: -6.17

Cell lengths 4.4894, 4.4894, 4.6109 Å; angles 90.00, 90.00, 90.00 degrees
With the nearest neighbours (Å) after each atom.
Element x y z (fractional)
Ta 0.0000 0.0000 0.0000  4 Ru 3.17, 8 Pd 3.22
Ga 0.5000 0.5000 0.5000  4 Pd 2.24, 2 Ru 2.31
Pd 0.0000 0.5000 0.5000  2 Ga 2.24
Pd 0.5000 0.0000 0.5000  2 Ga 2.24
Ru 0.5000 0.5000 0.0000  2 Ga 2.31



2.
DFT (GGA-PBE) results for crystalline TaGaPdRu at its relaxed geometry.

Space group: F-43m, No. 216
E_tot, eV per atom: -7.69

Cell lengths 4.4423, 4.4423, 4.4423 Å; angles 60.00, 60.00, 60.00 degrees
With the nearest neighbours (Å) after each atom.
Element x y z (fractional)
Ta 0.0000 0.0000 0.0000  4 Ru 2.72, 4 Pd 2.72
Ga 0.5000 0.5000 0.5000  4 Ru 2.72, 4 Pd 2.72
Pd 0.2500 0.2500 0.2500  4 Ta 2.72, 4 Ga 2.72
Ru 0.7500 0.7500 0.7500  4 Ta 2.72, 4 Ga 2.72



3.
DFT (GGA-PBE) results for crystalline ThGa2PdRu2 at its relaxed geometry.

Space group: P4/mmm, No. 123
E_tot, eV per atom: -6.19

Cell lengths 4.6197, 4.6197, 5.5336 Å; angles 90.00, 90.00, 90.00 degrees
With the nearest neighbours (Å) after each atom.
Element x y z (fractional)
Th 0.0000 0.0000 0.0000  2 Pd 2.77
Ga 0.0000 0.5000 0.5000  2 Pd 2.31
Ga 0.5000 0.0000 0.5000  2 Pd 2.31
Pd 0.0000 0.0000 0.5000  4 Ga 2.31
Ru 0.5000 0.5000 0.2173  1 Ru 2.40
Ru 0.5000 0.5000 0.7827  1 Ru 2.40